# 1
VASP calculation (PBEsol) on an optimized crystal structure of SrIr2Pt.

a = 5.605 Å, b = 9.898 Å, c = 2.783 Å
α = 90.00°, β = 118.18°, γ = 90.00°
Space group C2/m (No. 12)
Symmetry-distinct sites (fractional):
Sr  0.000  0.000  0.000 x2
Ir  0.250  0.250  0.500 x4
Pt  0.000  0.500  0.000 x2

Summary:
uncorrected energy	-6.821	eV per atom
M_tot	0.0	μB/cell
energy relative to the elements	28.1	kJ per mole of atoms

# 2
VASP calculation (PBEsol) on an optimized crystal structure of TaIrPt3.

a = 4.703 Å, b = 4.703 Å, c = 4.703 Å
α = 90.00°, β = 90.00°, γ = 90.00°
Space group Pm-3m (No. 221)
Symmetry-distinct sites (fractional):
Ta  0.000  0.000  0.000 x1
Ir  0.500  0.500  0.500 x1
Pt  0.000  0.000  0.500 x3

Summary:
uncorrected energy	-6.952	eV per atom
M_tot	0.0	μB/cell
energy relative to the elements	164.1	kJ per mole of atoms

# 3
VASP calculation (PBEsol) on an optimized crystal structure of TcIrPt2.

a = 2.709 Å, b = 2.709 Å, c = 7.844 Å
α = 90.00°, β = 90.00°, γ = 90.00°
Space group P4/mmm (No. 123)
Symmetry-distinct sites (fractional):
Tc  0.000  0.000  0.000 x1
Ir  0.000  0.000  0.500 x1
Pt  0.500  0.500  0.244 x2

Summary:
uncorrected energy	-8.789	eV per atom
M_tot	0.0	μB/cell
energy relative to the elements	-3.4	kJ per mole of atoms

# 4
VASP calculation (PBEsol) on an optimized crystal structure of TcIrPt2.

a = 9.109 Å, b = 2.707 Å, c = 4.734 Å
α = 90.00°, β = 99.66°, γ = 90.00°
Space group Cm (No. 8)
Symmetry-distinct sites (fractional):
Tc  0.000  0.000  0.000 x2
Ir  0.243  0.500  0.230 x2
Pt  0.250  0.000  0.744 x2
Pt  0.495  0.000  0.491 x2

Summary:
uncorrected energy	-8.858	eV per atom
M_tot	0.0	μB/cell
energy relative to the elements	-10.0	kJ per mole of atoms

# 5
VASP calculation (PBEsol) on an optimized crystal structure of TcIrPt2.

a = 2.722 Å, b = 3.854 Å, c = 5.492 Å
α = 90.00°, β = 90.00°, γ = 90.00°
Space group Pmm2 (No. 25)
Symmetry-distinct sites (fractional):
Tc  0.000  0.000  0.000 x1
Ir  0.500  0.500  0.227 x1
Pt  0.000  0.000  0.488 x1
Pt  0.500  0.500  0.746 x1

Summary:
uncorrected energy	-8.897	eV per atom
M_tot	0.0	μB/cell
energy relative to the elements	-13.7	kJ per mole of atoms

# 6
VASP calculation (PBEsol) on an optimized crystal structure of TcIrPt2.

a = 3.843 Å, b = 3.843 Å, c = 7.784 Å
α = 90.00°, β = 90.00°, γ = 90.00°
Space group I-4m2 (No. 119)
Symmetry-distinct sites (fractional):
Tc  0.000  0.000  0.000 x2
Ir  0.000  0.500  0.250 x2
Pt  0.000  0.000  0.500 x2
Pt  0.000  0.500  0.750 x2

Summary:
uncorrected energy	-8.860	eV per atom
M_tot	0.0	μB/cell
energy relative to the elements	-10.2	kJ per mole of atoms

# 7
VASP calculation (PBEsol) on an optimized crystal structure of TcIrPt2.

a = 2.716 Å, b = 2.716 Å, c = 7.838 Å
α = 90.00°, β = 90.00°, γ = 90.00°
Space group P4mm (No. 99)
Symmetry-distinct sites (fractional):
Tc  0.000  0.000  0.000 x1
Ir  0.500  0.500  0.229 x1
Pt  0.000  0.000  0.487 x1
Pt  0.500  0.500  0.753 x1

Summary:
uncorrected energy	-8.927	eV per atom
M_tot	0.0	μB/cell
energy relative to the elements	-16.7	kJ per mole of atoms

# 8
VASP calculation (PBEsol) on an optimized crystal structure of TcIrPt2.

a = 2.7214 Å, b = 2.7214 Å, c = 27.0827 Å
α = 90.00°, β = 90.00°, γ = 120.00°
Space group R3m (No. 160, hexagonal axes)
Symmetry-distinct sites (fractional):
Tc  0.0000  0.0000  0.0000 x3
Ir  0.0000  0.0000  0.7440 x3
Pt  0.0000  0.0000  0.2510 x3
Pt  0.0000  0.0000  0.4969 x3

Summary:
uncorrected energy	-8.880	eV per atom
M_tot	0.0	μB/cell
energy relative to the elements	-12.1	kJ per mole of atoms

# 9
VASP calculation (PBEsol) on an optimized crystal structure of TcIrPt2.

a = 2.7323 Å, b = 2.7323 Å, c = 26.7625 Å
α = 90.00°, β = 90.00°, γ = 120.00°
Space group R-3m (No. 166, hexagonal axes)
Symmetry-distinct sites (fractional):
Tc  0.0000  0.0000  0.0000 x3
Ir  0.0000  0.0000  0.5000 x3
Pt  0.0000  0.0000  0.2518 x6

Summary:
uncorrected energy	-8.775	eV per atom
M_tot	0.0	μB/cell
energy relative to the elements	-2.0	kJ per mole of atoms

# 10
VASP calculation (PBEsol) on an optimized crystal structure of Tc2IrPt.

a = 2.708 Å, b = 4.349 Å, c = 4.779 Å
α = 90.00°, β = 90.00°, γ = 90.00°
Space group Pmm2 (No. 25)
Symmetry-distinct sites (fractional):
Tc  0.000  0.000  0.000 x1
Tc  0.000  0.500  0.319 x1
Ir  0.500  0.500  0.831 x1
Pt  0.500  0.000  0.497 x1

Summary:
uncorrected energy	-10.067	eV per atom
M_tot	0.0	μB/cell
energy relative to the elements	-22.8	kJ per mole of atoms

# 11
VASP calculation (PBEsol) on an optimized crystal structure of TcIrPt2.

a = 3.828 Å, b = 3.828 Å, c = 7.859 Å
α = 90.00°, β = 90.00°, γ = 90.00°
Space group I4/mmm (No. 139)
Symmetry-distinct sites (fractional):
Tc  0.000  0.000  0.000 x2
Ir  0.000  0.000  0.500 x2
Pt  0.000  0.500  0.250 x4

Summary:
uncorrected energy	-8.798	eV per atom
M_tot	0.0	μB/cell
energy relative to the elements	-4.2	kJ per mole of atoms

# 12
VASP calculation (PBEsol) on an optimized crystal structure of Tc2IrPt.

a = 3.790 Å, b = 3.790 Å, c = 7.844 Å
α = 90.00°, β = 90.00°, γ = 90.00°
Space group I4/mmm (No. 139)
Symmetry-distinct sites (fractional):
Tc  0.000  0.500  0.250 x4
Ir  0.000  0.000  0.000 x2
Pt  0.000  0.000  0.500 x2

Summary:
uncorrected energy	-9.980	eV per atom
M_tot	0.0	μB/cell
energy relative to the elements	-14.5	kJ per mole of atoms